Ni2B3 | PBE | relaxed

Cell: 9.0400 9.0400 2.9903 Å, 90.00 90.00 161.00°
Fractional coordinates of all 10 atoms:
Ni 0.0827 0.9173 0.7500
Ni 0.2077 0.7923 0.2500
Ni 0.7923 0.2077 0.7500
Ni 0.9173 0.0827 0.2500
B 0.3255 0.6745 0.2500
B 0.3795 0.6205 0.7500
B 0.4766 0.5234 0.7500
B 0.5234 0.4766 0.2500
B 0.6205 0.3795 0.2500
B 0.6745 0.3255 0.7500

**SG**: No. 63

Ni2B | PBE | relaxed

Cell: 4.5093 4.5093 4.5093 Å, 60.00 60.00 60.00°
Fractional coordinates of all 6 atoms:
Ni 0.0000 0.0000 0.0000
Ni 0.0000 0.0000 0.5000
Ni 0.0000 0.5000 0.0000
Ni 0.5000 0.0000 0.0000
B 0.3750 0.3750 0.3750
B 0.6250 0.6250 0.6250

**SG**: No. 227

NiB2 | PBE | relaxed

Cell: 3.9198 3.9198 3.9198 Å, 60.00 60.00 60.00°
Fractional coordinates of all 6 atoms:
Ni 0.1250 0.1250 0.1250
Ni 0.8750 0.8750 0.8750
B 0.0000 0.5000 0.5000
B 0.5000 0.0000 0.5000
B 0.5000 0.5000 0.0000
B 0.5000 0.5000 0.5000

**SG**: No. 227

NiB2 | PBE | relaxed

Cell: 5.0497 5.0497 2.3670 Å, 90.00 90.00 90.00°
Fractional coordinates of all 6 atoms:
Ni 0.0000 0.0000 0.0000
Ni 0.5000 0.5000 0.5000
B 0.2241 0.2241 0.5000
B 0.2759 0.7241 0.0000
B 0.7241 0.2759 0.0000
B 0.7759 0.7759 0.5000

**SG**: No. 136

NpNiB | PBE | relaxed

Cell: 4.0654 4.0654 4.0654 Å, 60.00 60.00 60.00°
Fractional coordinates of all 3 atoms:
Np 0.0000 0.0000 0.0000
Ni 0.2500 0.2500 0.2500
B 0.5000 0.5000 0.5000

**Offset from the most stable computed form**: 266 meV per atom
**SG**: No. 216

NpNiB | PBE | relaxed

Cell: 3.9644 3.9644 3.9644 Å, 60.00 60.00 60.00°
Fractional coordinates of all 3 atoms:
Np 0.0000 0.0000 0.0000
Ni 0.5000 0.5000 0.5000
B 0.7500 0.7500 0.7500

**Offset from the most stable computed form**: 0 meV per atom
**SG**: No. 216

NpNiB | PBE | relaxed

Cell: 4.1188 4.1188 4.1188 Å, 60.00 60.00 60.00°
Fractional coordinates of all 3 atoms:
Np 0.0000 0.0000 0.0000
Ni 0.2500 0.2500 0.2500
B 0.7500 0.7500 0.7500

**Offset from the most stable computed form**: 754 meV per atom
**SG**: No. 216

NpNi12B6 | PBE | relaxed

Cell: 6.0040 6.0040 6.0040 Å, 104.51 104.51 104.51°
Fractional coordinates of all 19 atoms:
Np 0.0000 0.0000 0.0000
Ni 0.1300 0.5000 0.8700
Ni 0.1300 0.8700 0.5000
Ni 0.1855 0.4508 0.4508
Ni 0.4508 0.1855 0.4508
Ni 0.4508 0.4508 0.1855
Ni 0.5000 0.1300 0.8700
Ni 0.5000 0.8700 0.1300
Ni 0.5492 0.5492 0.8145
Ni 0.5492 0.8145 0.5492
Ni 0.8145 0.5492 0.5492
Ni 0.8700 0.1300 0.5000
Ni 0.8700 0.5000 0.1300
B 0.2344 0.2344 0.6742
B 0.2344 0.6742 0.2344
B 0.3258 0.7656 0.7656
B 0.6742 0.2344 0.2344
B 0.7656 0.3258 0.7656
B 0.7656 0.7656 0.3258

**SG**: No. 166

NiB4Os | PBE | relaxed

Cell: 4.4074 4.4074 4.4074 Å, 141.35 105.08 87.64°
Fractional coordinates of all 6 atoms:
Ni 0.0000 0.0000 0.0000
B 0.0762 0.7362 0.3401
B 0.3961 0.7362 0.6599
B 0.6039 0.2638 0.3401
B 0.9238 0.2638 0.6599
Os 0.5000 0.5000 0.0000

**Offset from the most stable computed form**: 0 meV per atom
**SG**: No. 71

NiBOs2 | PBE | relaxed

Cell: 4.0969 4.0969 4.0969 Å, 60.00 60.00 60.00°
Fractional coordinates of all 4 atoms:
Ni 0.0000 0.0000 0.0000
B 0.7500 0.7500 0.7500
Os 0.2500 0.2500 0.2500
Os 0.5000 0.5000 0.5000

**SG**: No. 216

NiBOs | PBE | relaxed

Cell: 3.7303 3.7303 3.7303 Å, 60.00 60.00 60.00°
Fractional coordinates of all 3 atoms:
Ni 0.0000 0.0000 0.0000
B 0.7500 0.7500 0.7500
Os 0.2500 0.2500 0.2500

**SG**: No. 216

NiBOs | PBE | relaxed

Cell: 3.7842 3.7842 3.7842 Å, 60.00 60.00 60.00°
Fractional coordinates of all 3 atoms:
Ni 0.0000 0.0000 0.0000
B 0.5000 0.5000 0.5000
Os 0.7500 0.7500 0.7500

**SG**: No. 216

NiB2Os | PBE | relaxed

Cell: 3.8190 3.8190 3.8190 Å, 60.00 60.00 60.00°
Fractional coordinates of all 4 atoms:
Ni 0.0000 0.0000 0.0000
B 0.5000 0.5000 0.5000
B 0.7500 0.7500 0.7500
Os 0.2500 0.2500 0.2500

**SG**: No. 216

NiB4Os | PBE | relaxed

Cell: 2.9675 2.9675 6.6004 Å, 90.00 90.00 120.00°
Fractional coordinates of all 6 atoms:
Ni 0.0000 0.0000 0.0000
B 0.3333 0.6667 0.2385
B 0.3333 0.6667 0.7615
B 0.6667 0.3333 0.2385
B 0.6667 0.3333 0.7615
Os 0.0000 0.0000 0.5000

**Offset from the most stable computed form**: 117 meV per atom
**SG**: No. 191

NiBOsPt | PBE | relaxed

Cell: 4.1513 4.1513 4.1513 Å, 60.00 60.00 60.00°
Fractional coordinates of all 4 atoms:
Ni 0.0000 0.0000 0.0000
B 0.7500 0.7500 0.7500
Os 0.2500 0.2500 0.2500
Pt 0.5000 0.5000 0.5000

**Offset from the most stable computed form**: 544 meV per atom
**SG**: No. 216

NiBOsPt | PBE | relaxed

Cell: 4.0482 4.0482 4.0482 Å, 60.00 60.00 60.00°
Fractional coordinates of all 4 atoms:
Ni 0.0000 0.0000 0.0000
B 0.5000 0.5000 0.5000
Os 0.7500 0.7500 0.7500
Pt 0.2500 0.2500 0.2500

**Offset from the most stable computed form**: 0 meV per atom
**SG**: No. 216

ReNiBOs | PBE | relaxed

Cell: 4.0163 4.0163 4.0163 Å, 60.00 60.00 60.00°
Fractional coordinates of all 4 atoms:
Re 0.0000 0.0000 0.0000
Ni 0.7500 0.7500 0.7500
B 0.2500 0.2500 0.2500
Os 0.5000 0.5000 0.5000

**SG**: No. 216

YNiBOs | PBE | relaxed

Cell: 4.3008 4.3008 4.3008 Å, 60.00 60.00 60.00°
Fractional coordinates of all 4 atoms:
Y 0.0000 0.0000 0.0000
Ni 0.2500 0.2500 0.2500
B 0.7500 0.7500 0.7500
Os 0.5000 0.5000 0.5000

**SG**: No. 216

ZrNiBOs | PBE | relaxed

Cell: 4.1930 4.1930 4.1930 Å, 60.00 60.00 60.00°
Fractional coordinates of all 4 atoms:
Zr 0.0000 0.0000 0.0000
Ni 0.2500 0.2500 0.2500
B 0.7500 0.7500 0.7500
Os 0.5000 0.5000 0.5000

**SG**: No. 216

Pr3Ni2B2P3 | PBE | relaxed

Cell: 11.2962 11.2962 11.2962 Å, 159.17 159.17 29.62°
Fractional coordinates of all 10 atoms:
Pr 0.0000 0.0000 0.0000
Pr 0.3591 0.3591 0.0000
Pr 0.6409 0.6409 0.0000
Ni 0.2500 0.7500 0.5000
Ni 0.7500 0.2500 0.5000
B 0.2200 0.2200 0.0000
B 0.7800 0.7800 0.0000
P 0.1314 0.1314 0.0000
P 0.5000 0.5000 0.0000
P 0.8686 0.8686 0.0000

**SG**: No. 139

Pr2SmNi2B2P3 | PBE | relaxed

Cell: 11.2061 11.2061 11.2061 Å, 159.14 159.14 29.66°
Fractional coordinates of all 10 atoms:
Pr 0.1390 0.1390 0.0000
Pr 0.8610 0.8610 0.0000
Sm 0.5000 0.5000 0.0000
Ni 0.2500 0.7500 0.5000
Ni 0.7500 0.2500 0.5000
B 0.2804 0.2804 0.0000
B 0.7196 0.7196 0.0000
P 0.0000 0.0000 0.0000
P 0.3703 0.3703 0.0000
P 0.6297 0.6297 0.0000

**SG**: No. 139

Sm3Ni2B2P3 | PBE | relaxed

Cell: 11.1070 11.1070 11.1070 Å, 159.24 159.24 29.52°
Fractional coordinates of all 10 atoms:
Sm 0.0000 0.0000 0.0000
Sm 0.3619 0.3619 0.0000
Sm 0.6381 0.6381 0.0000
Ni 0.2500 0.7500 0.5000
Ni 0.7500 0.2500 0.5000
B 0.2198 0.2198 0.0000
B 0.7802 0.7802 0.0000
P 0.1296 0.1296 0.0000
P 0.5000 0.5000 0.0000
P 0.8704 0.8704 0.0000

**SG**: No. 139

Sm2YNi2B2P3 | PBE | relaxed

Cell: 11.0719 11.0719 11.0719 Å, 159.33 159.33 29.40°
Fractional coordinates of all 10 atoms:
Sm 0.1381 0.1381 0.0000
Sm 0.8619 0.8619 0.0000
Y 0.5000 0.5000 0.0000
Ni 0.2500 0.7500 0.5000
Ni 0.7500 0.2500 0.5000
B 0.2811 0.2811 0.0000
B 0.7189 0.7189 0.0000
P 0.0000 0.0000 0.0000
P 0.3718 0.3718 0.0000
P 0.6282 0.6282 0.0000

**SG**: No. 139

TbTmNi2B2P2 | PBE | relaxed

Cell: 3.8761 3.8761 7.8366 Å, 90.00 90.00 90.00°
Fractional coordinates of all 8 atoms:
Tb 0.0000 0.0000 0.0000
Tm 0.5000 0.5000 0.4128
Ni 0.0000 0.5000 0.7058
Ni 0.5000 0.0000 0.7058
B 0.0000 0.0000 0.6137
B 0.5000 0.5000 0.8037
P 0.0000 0.0000 0.3650
P 0.5000 0.5000 0.0534

**SG**: No. 99

TbY2Ni2B2P3 | PBE | relaxed

Cell: 11.0100 11.0100 11.0100 Å, 159.36 159.36 29.35°
Fractional coordinates of all 10 atoms:
Tb 0.0000 0.0000 0.0000
Y 0.3630 0.3630 0.0000
Y 0.6370 0.6370 0.0000
Ni 0.2500 0.7500 0.5000
Ni 0.7500 0.2500 0.5000
B 0.2198 0.2198 0.0000
B 0.7802 0.7802 0.0000
P 0.1287 0.1287 0.0000
P 0.5000 0.5000 0.0000
P 0.8713 0.8713 0.0000

**SG**: No. 139

Y3Ni2B2P3 | PBE | relaxed

Cell: 11.0200 11.0200 11.0200 Å, 159.49 159.49 29.17°
Fractional coordinates of all 10 atoms:
Y 0.0000 0.0000 0.0000
Y 0.3641 0.3641 0.0000
Y 0.6359 0.6359 0.0000
Ni 0.2500 0.7500 0.5000
Ni 0.7500 0.2500 0.5000
B 0.2187 0.2187 0.0000
B 0.7813 0.7813 0.0000
P 0.1278 0.1278 0.0000
P 0.5000 0.5000 0.0000
P 0.8722 0.8722 0.0000

**SG**: No. 139

PaNi2B2 | PBE | relaxed

Cell: 5.1072 5.1072 5.1072 Å, 138.18 138.18 60.63°
Fractional coordinates of all 5 atoms:
Pa 0.0000 0.0000 0.0000
Ni 0.2500 0.7500 0.5000
Ni 0.7500 0.2500 0.5000
B 0.3985 0.3985 0.0000
B 0.6015 0.6015 0.0000

**SG**: No. 139

no.,total DFT energy (no corrections) (eV/atom),total moment (μB per cell)
1,-6.232,0.030
2,-4.852,0.003
3,-5.894,0.029
4,-5.404,0.080
5,-7.812,2.675
6,-8.079,2.019
7,-7.325,3.253
8,-6.546,0.073
9,-7.024,0.001
10,-7.896,0.161
11,-6.803,1.001
12,-6.975,0.786
13,-6.540,0.001
14,-6.907,0.175
15,-6.460,1.214
16,-7.005,0.045
17,-8.654,0.000
18,-7.174,0.320
19,-7.930,0.007
20,-6.354,0.006
21,-6.363,0.003
22,-6.379,0.002
23,-6.565,0.001
24,-6.296,0.013
25,-6.741,0.001
26,-6.926,0.002
27,-7.234,0.012